# ScInCo PBE-GGA relaxed
data_ScInCo
_space_group_name_H-M_alt 'P 1'
_space_group_IT_number 1
_space_group_name_Hall 'P 1'
_cell_length_a 6.392
_cell_length_b 6.392
_cell_length_c 6.392
_cell_angle_alpha 90.00
_cell_angle_beta 90.00
_cell_angle_gamma 90.00
loop_
_atom_site_label
_atom_site_type_symbol
_atom_site_fract_x
_atom_site_fract_y
_atom_site_fract_z
Sc1 Sc 0.000 0.000 0.000
Sc2 Sc 0.000 0.500 0.500
Sc3 Sc 0.500 0.000 0.500
Sc4 Sc 0.500 0.500 0.000
In1 In 0.250 0.250 0.250
In2 In 0.250 0.750 0.750
In3 In 0.750 0.250 0.750
In4 In 0.750 0.750 0.250
Co1 Co 0.250 0.250 0.750
Co2 Co 0.250 0.750 0.250
Co3 Co 0.750 0.250 0.250
Co4 Co 0.750 0.750 0.750
# - total DFT energy (no corrections) (eV/f.u.) = -14.728
# - total moment (μB/f.u.) = 0.69
# - density (Mg/m³) = 5.6
# - formation enthalpy at 0 K (eV per atom) = 0.483

# Li3Re2 PBE-GGA relaxed
data_Li3Re2
_space_group_name_H-M_alt 'P 1'
_space_group_IT_number 1
_space_group_name_Hall 'P 1'
_cell_length_a 4.318
_cell_length_b 4.318
_cell_length_c 5.342
_cell_angle_alpha 90.00
_cell_angle_beta 90.00
_cell_angle_gamma 120.00
loop_
_atom_site_label
_atom_site_type_symbol
_atom_site_fract_x
_atom_site_fract_y
_atom_site_fract_z
Li1 Li 0.000 0.000 0.000
Li2 Li 0.333 0.667 0.426
Li3 Li 0.667 0.333 0.574
Re1 Re 0.333 0.667 0.958
Re2 Re 0.667 0.333 0.042
# - total DFT energy (no corrections) (eV/f.u.) = -27.682
# - total moment (μB/f.u.) = 0.00
# - density (Mg/m³) = 7.6
# - formation enthalpy at 0 K (eV per atom) = 0.591

# LaThIr4 PBE-GGA relaxed
data_LaThIr4
_space_group_name_H-M_alt 'P 1'
_space_group_IT_number 1
_space_group_name_Hall 'P 1'
_cell_length_a 5.460
_cell_length_b 5.460
_cell_length_c 5.460
_cell_angle_alpha 60.00
_cell_angle_beta 60.00
_cell_angle_gamma 60.00
loop_
_atom_site_label
_atom_site_type_symbol
_atom_site_fract_x
_atom_site_fract_y
_atom_site_fract_z
La1 La 0.000 0.000 0.000
Th1 Th 0.250 0.250 0.250
Ir1 Ir 0.125 0.625 0.625
Ir2 Ir 0.625 0.125 0.625
Ir3 Ir 0.625 0.625 0.125
Ir4 Ir 0.625 0.625 0.625
# - total DFT energy (no corrections) (eV/f.u.) = -52.406
# - total moment (μB/f.u.) = 0.00
# - density (Mg/m³) = 16.4
# - formation enthalpy at 0 K (eV per atom) = -0.769

# BaNa PBE-GGA relaxed
data_BaNa
_space_group_name_H-M_alt 'P 1'
_space_group_IT_number 1
_space_group_name_Hall 'P 1'
_cell_length_a 7.646
_cell_length_b 7.646
_cell_length_c 7.577
_cell_angle_alpha 90.00
_cell_angle_beta 90.00
_cell_angle_gamma 90.00
loop_
_atom_site_label
_atom_site_type_symbol
_atom_site_fract_x
_atom_site_fract_y
_atom_site_fract_z
Ba1 Ba 0.198 0.198 0.000
Ba2 Ba 0.302 0.698 0.500
Ba3 Ba 0.698 0.302 0.500
Ba4 Ba 0.802 0.802 0.000
Na1 Na 0.180 0.180 0.500
Na2 Na 0.320 0.680 0.000
Na3 Na 0.680 0.320 0.000
Na4 Na 0.820 0.820 0.500
# - total DFT energy (no corrections) (eV/f.u.) = -2.925
# - total moment (μB/f.u.) = 0.00
# - density (Mg/m³) = 2.4
# - formation enthalpy at 0 K (eV per atom) = 0.158

# Cs2K9Na PBE-GGA relaxed
data_Cs2K9Na
_space_group_name_H-M_alt 'P 1'
_space_group_IT_number 1
_space_group_name_Hall 'P 1'
_cell_length_a 6.744
_cell_length_b 6.744
_cell_length_c 19.793
_cell_angle_alpha 90.00
_cell_angle_beta 90.00
_cell_angle_gamma 90.00
loop_
_atom_site_label
_atom_site_type_symbol
_atom_site_fract_x
_atom_site_fract_y
_atom_site_fract_z
Cs1 Cs 0.000 0.000 0.181
Cs2 Cs 0.000 0.000 0.819
K1 K 0.000 0.500 0.000
K2 K 0.000 0.500 0.359
K3 K 0.000 0.500 0.641
K4 K 0.500 0.000 0.000
K5 K 0.500 0.000 0.359
K6 K 0.500 0.000 0.641
K7 K 0.500 0.500 0.179
K8 K 0.500 0.500 0.500
K9 K 0.500 0.500 0.821
Na1 Na 0.000 0.000 0.500
# - total DFT energy (no corrections) (eV/f.u.) = -12.734
# - total moment (μB/f.u.) = 0.00
# - density (Mg/m³) = 1.2
# - formation enthalpy at 0 K (eV per atom) = 0.014

# LaB6Pt12 PBE-GGA relaxed
data_LaB6Pt12
_space_group_name_H-M_alt 'P 1'
_space_group_IT_number 1
_space_group_name_Hall 'P 1'
_cell_length_a 6.838
_cell_length_b 6.838
_cell_length_c 6.838
_cell_angle_alpha 105.37
_cell_angle_beta 105.37
_cell_angle_gamma 105.37
loop_
_atom_site_label
_atom_site_type_symbol
_atom_site_fract_x
_atom_site_fract_y
_atom_site_fract_z
La1 La 0.000 0.000 0.000
B1 B 0.221 0.221 0.606
B2 B 0.221 0.606 0.221
B3 B 0.394 0.779 0.779
B4 B 0.606 0.221 0.221
B5 B 0.779 0.394 0.779
B6 B 0.779 0.779 0.394
Pt1 Pt 0.127 0.500 0.873
Pt2 Pt 0.127 0.873 0.500
Pt3 Pt 0.180 0.458 0.458
Pt4 Pt 0.458 0.180 0.458
Pt5 Pt 0.458 0.458 0.180
Pt6 Pt 0.500 0.127 0.873
Pt7 Pt 0.500 0.873 0.127
Pt8 Pt 0.542 0.542 0.820
Pt9 Pt 0.542 0.820 0.542
Pt10 Pt 0.820 0.542 0.542
Pt11 Pt 0.873 0.127 0.500
Pt12 Pt 0.873 0.500 0.127
# - total DFT energy (no corrections) (eV/f.u.) = -123.850
# - total moment (μB/f.u.) = 0.00
# - density (Mg/m³) = 15.2
# - formation enthalpy at 0 K (eV per atom) = -0.335

# K2Np2TiTe6 PBE-GGA relaxed
data_K2Np2TiTe6
_space_group_name_H-M_alt 'P 1'
_space_group_IT_number 1
_space_group_name_Hall 'P 1'
_cell_length_a 7.422
_cell_length_b 7.422
_cell_length_c 8.857
_cell_angle_alpha 98.56
_cell_angle_beta 98.56
_cell_angle_gamma 119.66
loop_
_atom_site_label
_atom_site_type_symbol
_atom_site_fract_x
_atom_site_fract_y
_atom_site_fract_z
K1 K 0.173 0.827 0.000
K2 K 0.827 0.173 0.000
Np1 Np 0.332 0.668 0.500
Np2 Np 0.668 0.332 0.500
Ti1 Ti 0.000 0.000 0.500
Te1 Te 0.075 0.384 0.703
Te2 Te 0.242 0.242 0.300
Te3 Te 0.384 0.075 0.703
Te4 Te 0.616 0.925 0.297
Te5 Te 0.758 0.758 0.700
Te6 Te 0.925 0.616 0.297
# - total DFT energy (no corrections) (eV/f.u.) = -63.682
# - total moment (μB/f.u.) = 8.00
# - density (Mg/m³) = 5.6
# - raw formation energy (eV per atom) = -0.806

# CuSiRh2 PBE-GGA relaxed
data_CuSiRh2
_space_group_name_H-M_alt 'P 1'
_space_group_IT_number 1
_space_group_name_Hall 'P 1'
_cell_length_a 2.801
_cell_length_b 4.150
_cell_length_c 4.658
_cell_angle_alpha 90.00
_cell_angle_beta 90.00
_cell_angle_gamma 90.00
loop_
_atom_site_label
_atom_site_type_symbol
_atom_site_fract_x
_atom_site_fract_y
_atom_site_fract_z
Cu1 Cu 0.000 0.000 0.000
Si1 Si 0.500 0.000 0.500
Rh1 Rh 0.000 0.500 0.500
Rh2 Rh 0.500 0.500 0.000
# - total DFT energy (no corrections) (eV/f.u.) = -24.765
# - total moment (μB/f.u.) = 0.00
# - density (Mg/m³) = 9.1
# - raw formation energy (eV per atom) = -0.136

# BePdSe PBE-GGA relaxed
data_BePdSe
_space_group_name_H-M_alt 'P 1'
_space_group_IT_number 1
_space_group_name_Hall 'P 1'
_cell_length_a 3.713
_cell_length_b 4.699
_cell_length_c 7.013
_cell_angle_alpha 79.70
_cell_angle_beta 74.88
_cell_angle_gamma 90.00
loop_
_atom_site_label
_atom_site_type_symbol
_atom_site_fract_x
_atom_site_fract_y
_atom_site_fract_z
Be1 Be 0.201 0.028 0.100
Be2 Be 0.799 0.972 0.900
Pd1 Pd 0.312 0.659 0.874
Pd2 Pd 0.688 0.341 0.126
Se1 Se 0.379 0.189 0.738
Se2 Se 0.621 0.811 0.262
# - total DFT energy (no corrections) (eV/f.u.) = -13.305
# - total moment (μB/f.u.) = 0.00
# - density (Mg/m³) = 5.6
# - raw formation energy (eV per atom) = -0.300

# LiBiSeBr2 PBE-GGA relaxed
data_LiBiSeBr2
_space_group_name_H-M_alt 'P 1'
_space_group_IT_number 1
_space_group_name_Hall 'P 1'
_cell_length_a 5.812
_cell_length_b 5.812
_cell_length_c 5.561
_cell_angle_alpha 90.00
_cell_angle_beta 90.00
_cell_angle_gamma 90.00
loop_
_atom_site_label
_atom_site_type_symbol
_atom_site_fract_x
_atom_site_fract_y
_atom_site_fract_z
Li1 Li 0.000 0.000 0.000
Bi1 Bi 0.500 0.500 0.500
Se1 Se 0.500 0.500 0.000
Br1 Br 0.000 0.500 0.500
Br2 Br 0.500 0.000 0.500
# - total DFT energy (no corrections) (eV/f.u.) = -14.942
# - total moment (μB/f.u.) = 0.00
# - density (Mg/m³) = 4.0
# - raw formation energy (eV per atom) = -0.463

# In2SiN PBE-GGA relaxed
data_In2SiN
_space_group_name_H-M_alt 'P 1'
_space_group_IT_number 1
_space_group_name_Hall 'P 1'
_cell_length_a 2.918
_cell_length_b 3.390
_cell_length_c 16.147
_cell_angle_alpha 90.00
_cell_angle_beta 90.00
_cell_angle_gamma 90.00
loop_
_atom_site_label
_atom_site_type_symbol
_atom_site_fract_x
_atom_site_fract_y
_atom_site_fract_z
In1 In 0.000 0.000 0.000
In2 In 0.000 0.500 0.187
In3 In 0.500 0.000 0.687
In4 In 0.500 0.500 0.500
Si1 Si 0.000 0.000 0.329
Si2 Si 0.500 0.500 0.829
N1 N 0.000 0.500 0.888
N2 N 0.500 0.000 0.388
# - total DFT energy (no corrections) (eV/f.u.) = -19.338
# - total moment (μB/f.u.) = 0.00
# - density (Mg/m³) = 5.6
# - raw formation energy (eV per atom) = -0.028

# Li6Cu2Rh PBE-GGA relaxed
data_Li6Cu2Rh
_space_group_name_H-M_alt 'P 1'
_space_group_IT_number 1
_space_group_name_Hall 'P 1'
_cell_length_a 7.504
_cell_length_b 7.504
_cell_length_c 2.953
_cell_angle_alpha 95.18
_cell_angle_beta 95.18
_cell_angle_gamma 125.90
loop_
_atom_site_label
_atom_site_type_symbol
_atom_site_fract_x
_atom_site_fract_y
_atom_site_fract_z
Li1 Li 0.015 0.352 0.336
Li2 Li 0.194 0.194 0.850
Li3 Li 0.352 0.015 0.336
Li4 Li 0.648 0.985 0.664
Li5 Li 0.806 0.806 0.150
Li6 Li 0.985 0.648 0.664
Cu1 Cu 0.341 0.659 0.000
Cu2 Cu 0.659 0.341 0.000
Rh1 Rh 0.500 0.500 0.500
# - total DFT energy (no corrections) (eV/f.u.) = -27.257
# - total moment (μB/f.u.) = 0.00
# - density (Mg/m³) = 3.4
# - formation enthalpy at 0 K (eV per atom) = -0.026